No. 1
Computed, not measured: Gd2TePt after structural relaxation at the GGA-PBE level of DFT.

abc: 4.1648 4.1648 7.7947
angles: 74.50 74.50 60.00
Closest atoms and distances in Å follow each position.
Atoms (fractional coordinates):
Gd  0.2620  0.2620  0.2141  3 Pt 2.88, 3 Te 3.21
Gd  0.7380  0.7380  0.7859  3 Pt 2.88, 3 Te 3.21
Te  0.5000  0.5000  0.5000  6 Gd 3.21
Pt  0.0000  0.0000  0.0000  6 Gd 2.88

For the calculated volume, the calculation gives 27.8 A^3/atom. The total energy comes out at -42.51 eV per cell. The value obtained for the total magnetization is 14.19 μB/f.u.

=====

No. 2
Computed, not measured: ScGePtRh after structural relaxation at the GGA-PBE level of DFT.

abc: 4.4873 4.4873 4.4873
angles: 60.00 60.00 60.00
Closest atoms and distances in Å follow each position.
Atoms (fractional coordinates):
Pt  0.5000  0.5000  0.5000  4 Ge 2.75, 4 Sc 2.75
Rh  0.0000  0.0000  0.0000  4 Sc 2.75, 4 Ge 2.75
Ge  0.7500  0.7500  0.7500  4 Rh 2.75, 4 Pt 2.75
Sc  0.2500  0.2500  0.2500  4 Pt 2.75, 4 Rh 2.75

For the calculated volume, the calculation gives 16.0 A^3/atom. The total energy comes out at -27.48 eV per cell. The value obtained for the total magnetization is 0.00 μB/f.u. Its formation energy is -0.7855 eV per atom.

=====

No. 3
Computed, not measured: ReAs2Ru after structural relaxation at the GGA-PBE level of DFT.

abc: 7.9189 7.9189 7.9189
angles: 21.90 21.90 21.90
Closest atoms and distances in Å follow each position.
Atoms (fractional coordinates):
Ru  0.7500  0.7500  0.7500  6 As 2.59
As  0.0007  0.0007  0.0007  3 Ru 2.59, 3 Re 2.61
As  0.4993  0.4993  0.4993  3 Ru 2.59, 3 Re 2.61
Re  0.2500  0.2500  0.2500  6 As 2.61

For the calculated volume, the calculation gives 15.1 A^3/atom. The total energy comes out at -30.28 eV per cell. The value obtained for the total magnetization is 0.00 μB/f.u. Its formation energy is 0.1867 eV per atom.

=====

No. 4
Computed, not measured: MgSCl2O after structural relaxation at the GGA-PBE level of DFT.

abc: 4.8825 4.8825 5.1349
angles: 90.00 90.00 90.00
Closest atoms and distances in Å follow each position.
Atoms (fractional coordinates):
S  0.0000  0.0000  0.5000  2 Mg 2.57
Cl  0.0000  0.5000  0.0000  2 Mg 2.44
Cl  0.5000  0.0000  0.0000  2 Mg 2.44
O  0.5000  0.5000  0.5000  4 S 3.45, 8 Cl 3.54
Mg  0.0000  0.0000  0.0000  4 Cl 2.44, 2 S 2.57

For the calculated volume, the calculation gives 24.5 A^3/atom. The total energy comes out at -13.65 eV per cell. The value obtained for the total magnetization is 0.27 μB/f.u.

=====

No. 5
Computed, not measured: KBa2Be after structural relaxation at the GGA-PBE level of DFT.

abc: 10.2695 10.2695 8.2666
angles: 51.60 51.60 90.00
Closest atoms and distances in Å follow each position.
Atoms (fractional coordinates):
Ba  0.2253  0.6250  0.2500  2 Be 3.15
Ba  0.5247  0.1250  0.2500  2 Be 3.15
Ba  0.8750  0.7747  0.7500  2 Be 3.15
Ba  0.3750  0.4753  0.7500  2 Be 3.15
K  0.7500  0.2500  0.5000  2 Be 3.95, 4 Ba 4.21
K  0.0000  0.0000  0.0000  2 Be 3.95, 4 Ba 4.21
Be  0.2500  0.7500  0.5000  4 Ba 3.15
Be  0.5000  0.5000  0.0000  4 Ba 3.15

For the calculated volume, the calculation gives 52.1 A^3/atom. The total energy comes out at -13.01 eV per cell. The value obtained for the total magnetization is 0.00 μB/f.u. Its formation energy is 0.5406 eV per atom.

=====

No. 6
Computed, not measured: ScMnCd3 after structural relaxation at the GGA-PBE level of DFT.

abc: 4.9213 4.9213 4.9213
angles: 90.00 90.00 90.00
Closest atoms and distances in Å follow each position.
Atoms (fractional coordinates):
Sc  0.5000  0.5000  0.5000  12 Cd 3.48
Mn  0.0000  0.0000  0.0000  6 Cd 2.46
Cd  0.0000  0.5000  0.0000  2 Mn 2.46
Cd  0.0000  0.0000  0.5000  2 Mn 2.46
Cd  0.5000  0.0000  0.0000  2 Mn 2.46

For the calculated volume, the calculation gives 23.8 A^3/atom. The total energy comes out at -14.94 eV per cell. The value obtained for the total magnetization is 0.00 μB/f.u. Its formation energy is 0.6607 eV per atom.

=====

No. 7
Computed, not measured: Er3SnHg5 after structural relaxation at the GGA-PBE level of DFT.

abc: 6.3383 8.9264 8.9264
angles: 120.00 90.00 90.00
Closest atoms and distances in Å follow each position.
Atoms (fractional coordinates):
Er  0.7500  0.3301  0.3300  5 Hg 2.94-3.17
Er  0.7500  0.0000  0.6700  5 Hg 2.94-3.17
Er  0.7500  0.6699  0.0000  5 Hg 2.94-3.17
Er  0.2500  0.3301  0.0000  5 Hg 2.94-3.17
Er  0.2500  0.0000  0.3300  5 Hg 2.94-3.17
Er  0.2500  0.6699  0.6700  5 Hg 2.94-3.17
Hg  0.2500  0.0000  0.6596  5 Er 2.94-3.17
Hg  0.5000  0.6667  0.3333  8 Hg 3.17-3.34, 6 Er 3.38
Hg  0.7500  0.6597  0.6596  5 Er 2.94-3.17
Hg  0.7500  0.0000  0.3404  5 Er 2.94-3.17
Hg  0.2500  0.3403  0.3404  5 Er 2.94-3.17
Hg  0.0000  0.6667  0.3333  8 Hg 3.17-3.34, 6 Er 3.38
Hg  0.5000  0.3333  0.6667  8 Hg 3.17-3.34, 6 Er 3.38
Hg  0.0000  0.3333  0.6667  8 Hg 3.17-3.34, 6 Er 3.38
Hg  0.2500  0.6597  0.0000  5 Er 2.94-3.17
Hg  0.7500  0.3403  0.0000  5 Er 2.94-3.17
Sn  0.0000  0.0000  0.0000  2 Sn 3.17, 6 Er 3.35, 6 Hg 3.43
Sn  0.5000  0.0000  0.0000  2 Sn 3.17, 6 Er 3.35, 6 Hg 3.43

For the calculated volume, the calculation gives 24.3 A^3/atom. The total energy comes out at -45.54 eV per cell. The value obtained for the total magnetization is 0.00 μB/f.u. Its formation energy is -0.3968 eV per atom.

=====

No. 8
Computed, not measured: Sr2AgPt2 after structural relaxation at the GGA-PBE level of DFT.

abc: 3.8673 3.8673 9.3946
angles: 78.12 78.12 90.00
Closest atoms and distances in Å follow each position.
Atoms (fractional coordinates):
Pt  0.2500  0.7500  0.5000  4 Pt 2.73
Pt  0.7500  0.2500  0.5000  4 Pt 2.73
Sr  0.3825  0.3825  0.2350  4 Pt 3.07
Sr  0.6175  0.6175  0.7650  4 Pt 3.07
Ag  0.0000  0.0000  0.0000  8 Sr 3.46, 4 Ag 3.87

For the calculated volume, the calculation gives 26.9 A^3/atom. The total energy comes out at -20.40 eV per cell. The value obtained for the total magnetization is 0.00 μB/f.u. Its formation energy is -0.4209 eV per atom.

=====

No. 9
Computed, not measured: LiYCl2 after structural relaxation at the GGA-PBE level of DFT.

abc: 3.7709 3.7709 8.0909
angles: 90.00 90.00 126.23
Closest atoms and distances in Å follow each position.
Atoms (fractional coordinates):
Cl  0.0000  0.0000  0.0390  2 Li 2.41
Cl  0.0000  0.0000  0.4610  2 Li 2.41
Li  0.5000  0.5000  0.2500  4 Cl 2.41
Y  0.5000  0.5000  0.7500  4 Cl 2.89

For the calculated volume, the calculation gives 23.2 A^3/atom. The total energy comes out at -17.74 eV per cell. The value obtained for the total magnetization is 0.00 μB/f.u.

=====

No. 10
Computed, not measured: Ca2SeS2 after structural relaxation at the GGA-PBE level of DFT.

abc: 5.2870 5.2870 5.5942
angles: 61.80 61.80 90.00
Closest atoms and distances in Å follow each position.
Atoms (fractional coordinates):
Se  0.0000  0.0000  0.0000  2 S 3.08, 8 Ca 3.36
Ca  0.2500  0.7500  0.5000  4 S 2.82
Ca  0.7500  0.2500  0.5000  4 S 2.82
S  0.6304  0.6304  0.7392  1 S 2.17
S  0.3696  0.3696  0.2608  1 S 2.17

For the calculated volume, the calculation gives 23.3 A^3/atom. The total energy comes out at -23.26 eV per cell. The value obtained for the total magnetization is 0.00 μB/f.u.

=====

No. 11
Computed, not measured: ZrSi2Pt after structural relaxation at the GGA-PBE level of DFT.

abc: 7.0214 7.0214 5.7375
angles: 52.27 52.27 90.00
Closest atoms and distances in Å follow each position.
Atoms (fractional coordinates):
Zr  0.5000  0.5000  0.0000  4 Si 2.78, 2 Pt 2.88
Zr  0.2500  0.7500  0.5000  4 Si 2.78, 2 Pt 2.88
Si  0.6654  0.1250  0.2500  2 Pt 2.40
Si  0.8750  0.9154  0.7500  2 Pt 2.40
Si  0.0846  0.6250  0.2500  2 Pt 2.40
Si  0.3750  0.3346  0.7500  2 Pt 2.40
Pt  0.7500  0.2500  0.5000  4 Si 2.40
Pt  0.0000  0.0000  0.0000  4 Si 2.40

For the calculated volume, the calculation gives 17.7 A^3/atom. The total energy comes out at -54.53 eV per cell. The value obtained for the total magnetization is 0.00 μB/f.u.

=====

No. 12
Computed, not measured: ScSbSe2 after structural relaxation at the GGA-PBE level of DFT.

abc: 5.0336 5.0336 5.0336
angles: 60.00 60.00 60.00
Closest atoms and distances in Å follow each position.
Atoms (fractional coordinates):
Sb  0.5000  0.5000  0.5000  4 Se 3.08, 4 Sc 3.08
Se  0.2500  0.2500  0.2500  4 Se 3.08, 4 Sb 3.08
Se  0.0000  0.0000  0.0000  4 Se 3.08, 4 Sc 3.08
Sc  0.7500  0.7500  0.7500  4 Se 3.08, 4 Sb 3.08

For the calculated volume, the calculation gives 22.5 A^3/atom. The total energy comes out at -17.96 eV per cell. The value obtained for the total magnetization is 0.00 μB/f.u.